Record 1
Here is an optimized crystal structure of ZrTa2TiC4 from Alexandria via LeMat-Bulk. Energies are from PBE-GGA.

The formation enthalpy at 0 K comes out at -716 meV/atom.

Cell: 5.5221 3.1825 5.5409 Å, 90.00 109.48 90.00°
Last column: nearest neighbours and their distance in Å.
Space group P2/m (No. 10)
One atom of each set of equivalent atoms:
Zr  0.0000  0.0000  0.0000 (multiplicity 1)  6 C 2.30
Ta  0.0000  0.5000  0.5000 (multiplicity 1)  6 C 2.26
Ta  0.5000  0.0000  0.5000 (multiplicity 1)  6 C 2.21-2.22
Ti  0.5000  0.5000  0.0000 (multiplicity 1)  6 C 2.25-2.26
C  0.2554  0.0000  0.7463 (multiplicity 2)  3 Ta 2.22-2.26, 2 Ti 2.25, 1 Zr 2.30
C  0.2601  0.5000  0.2593 (multiplicity 2)  3 Ta 2.21-2.26, 1 Ti 2.26, 2 Zr 2.30


Record 2
Here is an optimized crystal structure of Sc2MnW from Alexandria via LeMat-Bulk. Energies are from PBE-GGA.

The formation enthalpy at 0 K comes out at 46 meV/atom. The energy relative to the lowest polymorph listed for this composition comes out at 0.00 eV/f.u.

Cell: 3.0627 3.0627 7.7495 Å, 90.00 90.00 90.00°
Last column: nearest neighbours and their distance in Å.
Space group P4mm (No. 99)
One atom of each set of equivalent atoms:
Sc  0.0000  0.0000  0.0000 (multiplicity 1)  4 Mn 2.75, 1 W 3.03, 4 Sc 3.06
Sc  0.5000  0.5000  0.3559 (multiplicity 1)  4 W 2.92, 4 Sc 3.06
Mn  0.5000  0.5000  0.7808 (multiplicity 1)  4 W 2.54, 4 Sc 2.75
W  0.0000  0.0000  0.6086 (multiplicity 1)  4 Mn 2.54


Record 3
Here is an optimized crystal structure of CaNiRu from Alexandria via LeMat-Bulk. Energies are from PBE-GGA.

The formation enthalpy at 0 K comes out at 216 meV/atom. The energy relative to the lowest polymorph listed for this composition comes out at 0.83 eV/f.u.

Cell: 4.0273 4.0273 4.3146 Å, 90.00 90.00 120.00°
Last column: nearest neighbours and their distance in Å.
Space group P-6m2 (No. 187)
One atom of each set of equivalent atoms:
Ca  0.0000  0.0000  0.0000 (multiplicity 1)  6 Ru 3.17, 6 Ni 3.17
Ni  0.6667  0.3333  0.5000 (multiplicity 1)  3 Ru 2.33
Ru  0.3333  0.6667  0.5000 (multiplicity 1)  3 Ni 2.33